AlVF2: relaxed, PBE with a Hubbard U.

Lattice parameters (Å, degrees): 6.1742 6.1742 6.1742 130.00 130.00 73.41
With the nearest neighbours (Å) after each atom.
Sites, in units of the cell vectors:
Al (0.0000, 0.0000, 0.0000)  4 F 1.92
Al (0.7500, 0.2500, 0.5000)  4 F 1.92
V (0.2500, 0.7500, 0.5000)  4 F 2.65
V (0.5000, 0.5000, 0.0000)  4 F 2.65
F (0.0022, 0.6250, 0.8772)  2 Al 1.92
F (0.3750, 0.2522, 0.3772)  2 Al 1.92
F (0.7478, 0.1250, 0.1228)  2 Al 1.92
F (0.8750, 0.9978, 0.6228)  2 Al 1.92

Computed properties:
Distance to the lowest polymorph of the same formula = 45 kJ/mol of formula units
DFT total energy = -4.6857 eV per atom
DOS(E_F) = 0.3367 states/eV per atom
Total magnetization = 4.20 μB per formula unit